Density functional theory data (SCAN) for a crystal of Ti3CuH relaxed with PBEsol.

Relative energy among the computed polymorphs   1.4528 eV/atom
Total moment   4.4 μB per cell
Electronic total energy   -60.44 eV per cell
Space-group type   Pm-3m

Lattice parameters (Å, degrees): 4.583 4.583 4.583 90.00 90.00 90.00
Sites, in units of the cell vectors:
Ti 0.000 0.000 0.500
Ti 0.000 0.500 0.000
Ti 0.500 0.000 0.000
Cu 0.000 0.000 0.000
H 0.500 0.500 0.500

Density functional theory data (SCAN) for a crystal of Ti3CuH relaxed with PBEsol.

Relative energy among the computed polymorphs   0.0000 eV/atom
Total moment   0.0 μB per cell
Electronic total energy   -67.71 eV per cell
Space-group type   Pm-3m

Lattice parameters (Å, degrees): 3.958 3.958 3.958 90.00 90.00 90.00
Sites, in units of the cell vectors:
Ti 0.000 0.000 0.500
Ti 0.000 0.500 0.000
Ti 0.500 0.000 0.000
Cu 0.500 0.500 0.500
H 0.000 0.000 0.000